## P
Pm3ZnHg: optimized geometry, GGA-PBE.

Structure (POSCAR):
```
Pm3ZnHg
1.0
2.654 -9.940 0.000
2.654 9.940 0.000
0.000 0.000 5.310
Pm Zn Hg
6 2 2
Direct
0.063 0.937 0.750
0.250 0.750 0.750
0.434 0.566 0.750
0.566 0.434 0.250
0.750 0.250 0.250
0.937 0.063 0.250
0.153 0.847 0.250
0.847 0.153 0.750
0.344 0.656 0.250
0.656 0.344 0.750
```

As for the symmetry: Cmcm, No. 63.

## Q
Pm3ZnHg: optimized geometry, GGA-PBE.

Structure (POSCAR):
```
Pm3ZnHg
1.0
4.738 0.000 0.000
0.000 7.110 0.000
0.000 0.000 8.914
Pm Zn Hg
6 2 2
Direct
0.250 0.007 0.186
0.250 0.250 0.562
0.250 0.493 0.186
0.750 0.507 0.814
0.750 0.750 0.438
0.750 0.993 0.814
0.250 0.250 0.903
0.750 0.750 0.097
0.250 0.750 0.665
0.750 0.250 0.335
```

As for the symmetry: Pmmn, No. 59.

In terms of stability, P leads; the second structure lies 133 meV/atom higher.

## P
Pm6Zn2Hg: optimized geometry, GGA-PBE.

Structure (POSCAR):
```
Pm6Zn2Hg
1.0
-4.987 5.093 5.147
4.987 -5.093 5.147
4.987 5.093 -5.147
Pm Zn Hg
12 4 2
Direct
0.038 0.821 0.216
0.247 0.544 0.297
0.247 0.950 0.703
0.268 0.320 0.588
0.268 0.680 0.948
0.395 0.179 0.216
0.605 0.821 0.784
0.732 0.320 0.052
0.732 0.680 0.412
0.753 0.050 0.297
0.753 0.456 0.703
0.962 0.179 0.784
0.000 0.134 0.134
0.000 0.866 0.866
0.376 0.376 0.000
0.624 0.624 0.000
0.000 0.500 0.500
0.500 0.000 0.500
```

As for the symmetry: Immm, No. 71.

## Q
Pm6Zn2Hg: optimized geometry, GGA-PBE.

Structure (POSCAR):
```
Pm6Zn2Hg
1.0
8.058 -3.644 0.000
8.058 3.644 0.000
-1.604 0.000 4.849
Pm Zn Hg
6 2 1
Direct
0.075 0.585 0.330
0.242 0.758 0.000
0.415 0.925 0.670
0.585 0.075 0.330
0.758 0.242 0.000
0.925 0.415 0.670
0.167 0.167 0.167
0.833 0.833 0.833
0.500 0.500 0.500
```

As for the symmetry: C2/m, No. 12.

In terms of stability, P leads; the second structure lies 197 meV/atom higher.

## P
Pm2ZnHg: optimized geometry, GGA-PBE.

Structure (POSCAR):
```
Pm2ZnHg
1.0
0.000 3.747 3.747
3.747 0.000 3.747
3.747 3.747 0.000
Pm Zn Hg
2 1 1
Direct
0.250 0.250 0.250
0.750 0.750 0.750
0.000 0.000 0.000
0.500 0.500 0.500
```

As for the symmetry: Fm-3m, No. 225.

## Q
Pm2ZnHg: optimized geometry, GGA-PBE.

Structure (POSCAR):
```
Pm2ZnHg
1.0
3.719 0.000 0.000
0.000 3.719 0.000
0.000 0.000 7.526
Pm Zn Hg
2 1 1
Direct
0.000 0.000 0.233
0.000 0.000 0.767
0.500 0.500 0.000
0.500 0.500 0.500
```

As for the symmetry: P4/mmm, No. 123.

In terms of stability, Q leads; the second structure lies 25 meV/atom higher.

## P
PmZnHg2: optimized geometry, GGA-PBE.

Structure (POSCAR):
```
PmZnHg2
1.0
0.000 3.593 3.593
3.593 0.000 3.593
3.593 3.593 0.000
Pm Zn Hg
1 1 2
Direct
0.000 0.000 0.000
0.500 0.500 0.500
0.250 0.250 0.250
0.750 0.750 0.750
```

As for the symmetry: Fm-3m, No. 225.

## Q
PmZnHg2: optimized geometry, GGA-PBE.

Structure (POSCAR):
```
PmZnHg2
1.0
4.638 0.000 0.000
0.000 4.638 0.000
0.000 0.000 4.472
Pm Zn Hg
1 1 2
Direct
0.000 0.000 0.000
0.500 0.500 0.000
0.000 0.500 0.500
0.500 0.000 0.500
```

As for the symmetry: P4/mmm, No. 123.

In terms of stability, P leads; the second structure lies 46 meV/atom higher.